Entry 1:
Below is a relaxed structure of Ac6Ni3Rh, with properties calculated at the PBE level.

The value obtained for the total magnetic moment is 0.0 μB/f.u. As for the formation energy: -273 meV per atom. Its volume is 31.7 Å³/atom.

Cell lengths 4.214, 12.334, 13.252 Å; angles 113.07, 90.00, 90.00 degrees
Fractional coordinates of all 20 atoms:
Ac: 0.250 0.408 0.572
Ac: 0.750 0.592 0.428
Ac: 0.250 0.901 0.064
Ac: 0.750 0.099 0.936
Ac: 0.250 0.935 0.601
Ac: 0.750 0.065 0.399
Ac: 0.250 0.740 0.258
Ac: 0.750 0.260 0.742
Ac: 0.250 0.558 0.908
Ac: 0.750 0.442 0.092
Ac: 0.250 0.255 0.242
Ac: 0.750 0.745 0.758
Ni: 0.250 0.166 0.564
Ni: 0.750 0.834 0.436
Ni: 0.250 0.504 0.269
Ni: 0.750 0.496 0.731
Ni: 0.250 0.918 0.839
Ni: 0.750 0.082 0.161
Rh: 0.250 0.304 0.925
Rh: 0.750 0.696 0.075

Entry 2:
Below is a relaxed structure of AcNiRh, with properties calculated at the PBE level.

The calculation puts the energy relative to the lowest polymorph listed for this composition at 374 meV per atom. The value obtained for the total magnetic moment is 0.0 μB/f.u. As for the formation energy: -100 meV per atom. Its volume is 20.7 Å³/atom.

Cell lengths 3.577, 3.577, 5.469 Å; angles 109.09, 109.09, 90.00 degrees
Fractional coordinates of all 3 atoms:
Ni: 0.329 0.329 0.658
Ac: 0.615 0.615 0.230
Rh: 0.906 0.906 0.812

Entry 3:
Below is a relaxed structure of Ac2NiRh2, with properties calculated at the PBE level.

The calculation puts the energy relative to the lowest polymorph listed for this composition at 0 meV per atom. The value obtained for the total magnetic moment is 0.0 μB/f.u. As for the formation energy: -497 meV per atom. Its volume is 22.9 Å³/atom.

Cell lengths 4.365, 5.919, 5.756 Å; angles 120.94, 112.28, 90.00 degrees
Fractional coordinates of all 5 atoms:
Ac: 0.802 0.302 0.603
Ac: 0.198 0.698 0.397
Ni: 0.000 0.000 0.000
Rh: 0.500 0.758 0.000
Rh: 0.500 0.242 0.000

Entry 4:
Below is a relaxed structure of AcNi2Rh, with properties calculated at the PBE level.

The value obtained for the total magnetic moment is 0.0 μB/f.u. As for the formation energy: -329 meV per atom. Its volume is 19.6 Å³/atom.

Cell lengths 4.272, 4.272, 5.539 Å; angles 67.32, 67.32, 60.00 degrees
Fractional coordinates of all 4 atoms:
Ni: 0.809 0.809 0.572
Ni: 0.191 0.191 0.428
Ac: 0.000 0.000 0.000
Rh: 0.500 0.500 0.500

Entry 5:
Below is a relaxed structure of Ac7NiRh4, with properties calculated at the PBE level.

The value obtained for the total magnetic moment is 0.0 μB/f.u. As for the formation energy: -546 meV per atom. Its volume is 31.0 Å³/atom.

Cell lengths 4.221, 7.350, 12.945 Å; angles 104.44, 90.00, 106.69 degrees
Fractional coordinates of all 12 atoms:
Ac: 0.739 0.478 0.360
Ac: 0.261 0.522 0.640
Ac: 0.344 0.688 0.946
Ac: 0.656 0.311 0.053
Ac: 0.040 0.080 0.786
Ac: 0.960 0.921 0.215
Ac: 0.502 0.003 0.504
Ni: 0.885 0.769 0.574
Rh: 0.695 0.389 0.808
Rh: 0.304 0.608 0.187
Rh: 0.000 0.001 0.999
Rh: 0.115 0.230 0.429

Entry 6:
Below is a relaxed structure of AcNiRh, with properties calculated at the PBE level.

The calculation puts the energy relative to the lowest polymorph listed for this composition at 0 meV per atom. The value obtained for the total magnetic moment is 0.0 μB/f.u. As for the formation energy: -474 meV per atom. Its volume is 21.9 Å³/atom.

Cell lengths 4.257, 4.257, 8.392 Å; angles 90.00, 90.00, 120.00 degrees
Fractional coordinates of all 6 atoms:
Ac: 0.000 0.500 0.500
Ac: 0.000 0.500 0.000
Ni: 0.667 0.833 0.750
Ni: 0.333 0.167 0.250
Rh: 0.333 0.167 0.750
Rh: 0.667 0.833 0.250

Entry 7:
Below is a relaxed structure of Ac6Ni2Rh, with properties calculated at the PBE level.

The value obtained for the total magnetic moment is 0.0 μB/f.u. As for the formation energy: -291 meV per atom. Its volume is 36.8 Å³/atom.

Cell lengths 6.948, 7.417, 7.417 Å; angles 120.00, 90.00, 90.00 degrees
Fractional coordinates of all 9 atoms:
Ac: 0.267 0.665 0.000
Ac: 0.267 0.335 0.335
Ac: 0.267 0.000 0.665
Ac: 0.733 0.335 0.000
Ac: 0.733 0.665 0.665
Ac: 0.733 0.000 0.335
Ni: 0.500 0.333 0.667
Ni: 0.500 0.667 0.333
Rh: 0.500 0.000 0.000

Entry 8:
Below is a relaxed structure of AcNiRh2, with properties calculated at the PBE level.

The value obtained for the total magnetic moment is 0.0 μB/f.u. As for the formation energy: -330 meV per atom. Its volume is 20.6 Å³/atom.

Cell lengths 4.350, 4.350, 5.619 Å; angles 67.23, 67.23, 60.00 degrees
Fractional coordinates of all 4 atoms:
Ni: 0.500 0.500 0.500
Ac: 0.000 0.000 0.000
Rh: 0.804 0.804 0.589
Rh: 0.196 0.196 0.411

Entry 9:
Below is a relaxed structure of Ac8Ni3Rh2, with properties calculated at the PBE level.

The value obtained for the total magnetic moment is 0.0 μB/f.u. As for the formation energy: -339 meV per atom. Its volume is 33.7 Å³/atom.

Cell lengths 7.288, 8.669, 8.181 Å; angles 121.99, 89.49, 90.00 degrees
Fractional coordinates of all 13 atoms:
Ac: 0.161 0.380 0.761
Ac: 0.839 0.620 0.239
Ac: 0.174 0.883 0.767
Ac: 0.826 0.117 0.233
Ac: 0.333 0.887 0.257
Ac: 0.333 0.371 0.257
Ac: 0.667 0.629 0.743
Ac: 0.667 0.113 0.743
Ni: 0.500 0.000 0.000
Ni: 0.000 0.254 0.000
Ni: 0.000 0.746 0.000
Rh: 0.503 0.741 0.483
Rh: 0.497 0.259 0.517

Entry 10:
Below is a relaxed structure of Ac5NiRh2, with properties calculated at the PBE level.

The value obtained for the total magnetic moment is 0.0 μB/f.u. As for the formation energy: -397 meV per atom. Its volume is 36.7 Å³/atom.

Cell lengths 5.926, 7.420, 14.583 Å; angles 90.00, 90.00, 113.54 degrees
Fractional coordinates of all 16 atoms:
Ac: 0.945 0.891 0.881
Ac: 0.945 0.891 0.619
Ac: 0.336 0.672 0.433
Ac: 0.336 0.672 0.067
Ac: 0.750 0.501 0.250
Ac: 0.250 0.499 0.750
Ac: 0.664 0.328 0.567
Ac: 0.664 0.328 0.933
Ac: 0.055 0.109 0.119
Ac: 0.055 0.109 0.381
Ni: 0.782 0.564 0.750
Ni: 0.218 0.436 0.250
Rh: 0.850 0.700 0.441
Rh: 0.850 0.700 0.059
Rh: 0.150 0.300 0.559
Rh: 0.150 0.300 0.941

Entry 11:
Below is a relaxed structure of Ac5Ni2Rh, with properties calculated at the PBE level.

The value obtained for the total magnetic moment is 0.0 μB/f.u. As for the formation energy: -251 meV per atom. Its volume is 36.1 Å³/atom.

Cell lengths 5.876, 7.320, 14.645 Å; angles 90.00, 90.00, 113.66 degrees
Fractional coordinates of all 16 atoms:
Ac: 0.946 0.893 0.881
Ac: 0.946 0.893 0.619
Ac: 0.338 0.676 0.433
Ac: 0.338 0.676 0.067
Ac: 0.747 0.493 0.250
Ac: 0.253 0.507 0.750
Ac: 0.662 0.324 0.567
Ac: 0.662 0.324 0.933
Ac: 0.054 0.107 0.119
Ac: 0.054 0.107 0.381
Ni: 0.847 0.694 0.443
Ni: 0.847 0.694 0.057
Ni: 0.153 0.306 0.557
Ni: 0.153 0.306 0.943
Rh: 0.782 0.565 0.750
Rh: 0.218 0.435 0.250

Entry 12:
Below is a relaxed structure of AcNiRh, with properties calculated at the PBE level.

The calculation puts the energy relative to the lowest polymorph listed for this composition at 6 meV per atom. The value obtained for the total magnetic moment is 0.0 μB/f.u. As for the formation energy: -468 meV per atom. Its volume is 22.0 Å³/atom.

Cell lengths 4.205, 4.255, 4.255 Å; angles 120.00, 90.00, 90.00 degrees
Fractional coordinates of all 3 atoms:
Ni: 0.167 0.667 0.333
Ac: 0.667 0.333 0.667
Rh: 0.167 0.000 0.000

The following DOS(E_F) values (in states/eV/f.u.) correspond, in order, to the records above: 7.7 2.2 3.0 2.9 6.8 0.5 8.2 5.0 9.8 5.5 6.3 0.4.